3
Lattice="7.617 -0.002 0.000 5.935 4.774 0.000 -6.776 -2.386 2.531" Properties=species:S:1:pos:R:3 comment="PBE SrLaRe, relaxed" m_tot_mub_per_cell=0.0 space_group=I4mm polymorph_energy_mev_per_atom=0 ef_mev_per_atom=592 pbc="T T T"
Re 4.665 1.643 0.000
Sr 9.545 3.361 0.000
La 12.893 4.540 0.000

=====

4
Lattice="-3.268 -0.144 1.723 -0.272 -3.595 -0.817 4.374 -5.912 7.803" Properties=species:S:1:pos:R:3 comment="PBE Sr2LaRe, relaxed" m_tot_mub_per_cell=0.0 space_group=P4mm polymorph_energy_mev_per_atom=0 ef_mev_per_atom=487 pbc="T T T"
Sr -0.508 -2.501 2.794
Sr 4.021 -5.735 7.148
Re 1.322 -7.141 5.877
La 2.424 -4.940 4.185

=====

6
Lattice="-3.006 -5.541 -1.149 -5.698 -1.171 2.688 -5.290 -0.086 -3.615" Properties=species:S:1:pos:R:3 comment="PBE SrLa4Re, relaxed" m_tot_mub_per_cell=0.0 space_group=F-43m ef_mev_per_atom=902 pbc="T T T"
La -8.072 -3.141 0.529
Re -10.495 -5.099 -1.557
La -6.756 -5.277 -1.345
Sr 0.000 0.000 0.000
La -5.287 -2.569 -0.784
La -7.872 -2.611 -2.550

=====

4
Lattice="-0.757 -2.564 -2.615 -0.984 -3.176 3.399 -8.386 0.802 1.643" Properties=species:S:1:pos:R:3 comment="PBE SrLa2Re, relaxed" m_tot_mub_per_cell=0.0 space_group=Amm2 polymorph_energy_mev_per_atom=138 ef_mev_per_atom=366 pbc="T T T"
Sr -6.897 -2.566 1.840
Re -3.768 -2.116 3.167
La -3.708 -1.794 0.159
La -1.424 -2.824 3.182

=====

5
Lattice="-1.124 -5.388 -1.658 0.550 -1.519 4.563 -5.600 0.871 0.965" Properties=species:S:1:pos:R:3 comment="PBE SrLa2VRe, relaxed" m_tot_mub_per_cell=0.9 space_group=P4/mmm ef_mev_per_atom=517 pbc="T T T"
La -2.800 0.435 0.482
V 0.275 -0.760 2.282
La -0.562 -2.694 -0.829
Re 0.000 0.000 0.000
Sr -3.087 -3.018 1.935

=====

4
Lattice="4.332 0.000 0.000 0.000 3.036 0.093 0.000 1.603 6.704" Properties=species:S:1:pos:R:3 comment="PBE LaTa2Re, relaxed" m_tot_mub_per_cell=0.0 space_group=Pm polymorph_energy_mev_per_atom=205 ef_mev_per_atom=341 pbc="T T T"
Ta 2.166 1.085 1.230
Re 2.166 3.539 5.560
Ta 0.000 4.486 6.676
La 0.000 2.490 3.525

=====

4
Lattice="9.990 0.014 0.008 9.502 3.083 0.008 9.502 1.510 2.688" Properties=species:S:1:pos:R:3 comment="PBE LaTa2Re, relaxed" m_tot_mub_per_cell=0.0 space_group=R3m polymorph_energy_mev_per_atom=385 ef_mev_per_atom=521 pbc="T T T"
Ta 7.072 1.124 0.660
La 12.242 1.945 1.142
Ta 28.694 4.559 2.676
Re 24.476 3.889 2.283

=====

4
Lattice="-1.462 3.574 -2.868 -4.033 0.424 2.586 4.278 0.266 2.170" Properties=species:S:1:pos:R:3 comment="PBE LaTa2Re, relaxed" m_tot_mub_per_cell=0.0 space_group=Imm2 polymorph_energy_mev_per_atom=317 ef_mev_per_atom=453 pbc="T T T"
Ta -1.253 1.342 2.311
Ta -1.462 3.574 -2.868
Re 0.036 2.921 -0.422
La -2.747 1.999 -0.141

=====

4
Lattice="-1.849 -2.299 0.144 1.052 0.514 -2.712 7.780 -6.142 1.855" Properties=species:S:1:pos:R:3 comment="PBE LaTa2Re, relaxed" m_tot_mub_per_cell=0.0 space_group=Cmmm polymorph_energy_mev_per_atom=124 ef_mev_per_atom=259 pbc="T T T"
Ta 7.460 -5.890 1.778
La 1.546 -2.428 -0.820
Ta 4.210 -3.324 1.004
Re 5.436 -5.499 0.107

=====

4
Lattice="-2.416 -5.129 1.629 3.601 -4.257 1.926 -2.206 5.427 0.697" Properties=species:S:1:pos:R:3 comment="PBE LaTa2Re, relaxed" m_tot_mub_per_cell=0.0 space_group=Immm polymorph_energy_mev_per_atom=270 ef_mev_per_atom=406 pbc="T T T"
Ta 0.554 -4.387 1.662
Ta 0.039 -0.306 0.116
La -2.014 -2.198 2.052
Re 0.994 -1.762 2.200

=====

4
Lattice="3.222 0.000 0.000 0.000 3.222 0.000 0.000 0.000 8.025" Properties=species:S:1:pos:R:3 comment="PBE LaTa2Re, relaxed" m_tot_mub_per_cell=0.0 space_group=P4/mmm polymorph_energy_mev_per_atom=0 ef_mev_per_atom=136 pbc="T T T"
La 1.611 1.611 2.006
Re 1.611 1.611 6.019
Ta 0.000 0.000 7.544
Ta 0.000 0.000 4.494

=====

3
Lattice="7.923 -0.013 0.009 7.105 2.898 -0.012 0.818 -1.086 2.701" Properties=species:S:1:pos:R:3 comment="PBE LaTaRe, relaxed" m_tot_mub_per_cell=0.0 space_group=Fmm2 polymorph_energy_mev_per_atom=158 ef_mev_per_atom=363 pbc="T T T"
La 14.915 2.854 0.018
Ta 10.590 1.645 0.841
Re 5.368 0.186 1.835

=====

Number 1: total energy -5.760 eV per atom. Number 2: total energy -4.698 eV per atom. Number 3: total energy -4.738 eV per atom. Number 4: total energy -5.630 eV per atom. Number 5: total energy -6.103 eV per atom. Number 6: total energy -9.929 eV per atom. Number 7: total energy -9.749 eV per atom. Number 8: total energy -9.818 eV per atom. Number 9: total energy -10.011 eV per atom. Number 10: total energy -9.865 eV per atom. Number 11: total energy -10.135 eV per atom. Number 12: total energy -9.380 eV per atom.